[1]
The following is a meta-GGA SCAN calculation of a PBEsol-optimized structure of TiTeCl2, from Alexandria.

Cell: 3.179 3.179 11.043 Å, 81.72 81.72 60.00°
Atoms (fractional coordinates):
Cl 0.882 0.882 0.353
Cl 0.118 0.118 0.647
Te 0.000 0.000 0.000
Ti 0.500 0.500 0.500

Output
mass density = 4.292 g cm⁻³
symmetry = R-3m (166)
raw formation energy = -1068 meV per atom
calculated volume = 23.83 A^3/atom
uncorrected energy = -18.377 eV/atom

=====

[2]
The following is a meta-GGA SCAN calculation of a PBEsol-optimized structure of ZnCu2Se, from Alexandria.

Cell: 2.891 2.891 8.001 Å, 79.59 79.59 60.00°
Atoms (fractional coordinates):
Cu 0.252 0.252 0.245
Cu 0.748 0.748 0.755
Se 0.500 0.500 0.500
Zn 0.000 0.000 0.000

Output
mass density = 7.956 g cm⁻³
ΔE to the lowest computed polymorph = 165 meV/atom
symmetry = R-3m (166)
raw formation energy = 237 meV per atom
calculated volume = 14.16 A^3/atom
uncorrected energy = -15.761 eV/atom